No. 1
This record from Alexandria describes crystalline AlCu2CI at its relaxed geometry. The functional is GGA-PBEsol.

For the size of the total moment, the calculation gives 1.62 μB per formula unit. The energy comes out at -14.12 eV/cell. As for the uncorrected formation energy: 2010 meV per atom.

It has space group P4/mmm (No. 123), with a = 4.431 Å, b = 4.431 Å, c = 5.778 Å, α = 90.00°, β = 90.00° and γ = 90.00°. Symmetry generates all atoms from Al at (0.000, 0.000, 0.000), Cu at (0.000, 0.500, 0.000), C at (0.500, 0.500, 0.500) and I at (0.000, 0.000, 0.500).

---

No. 2
This record from Alexandria describes crystalline TmTe3O8 at its relaxed geometry. The functional is GGA-PBEsol.

For the size of the total moment, the calculation gives 0.00 μB per formula unit. The energy comes out at -306.35 eV/cell. As for the uncorrected formation energy: -1593 meV per atom.

It has space group C2/c (No. 15), with a = 12.362 Å, b = 5.481 Å, c = 10.376 Å, α = 90.00°, β = 116.32° and γ = 90.00°. Symmetry generates all atoms from Tm at (0.000, 0.058, 0.250), Te at (0.000, 0.500, 0.000), Te at (0.222, 0.420, 0.857), O at (0.082, 0.260, 0.671), O at (0.105, 0.381, 0.405), O at (0.114, 0.246, 0.136) and O at (0.177, 0.107, 0.915).

---

No. 3
This record from Alexandria describes crystalline La2ReTe at its relaxed geometry. The functional is GGA-PBEsol.

For the size of the total moment, the calculation gives 0.00 μB per formula unit. The energy comes out at -56.75 eV/cell. As for the uncorrected formation energy: -207 meV per atom.

It has space group Cmmm (No. 65), with a = 6.499 Å, b = 8.127 Å, c = 3.743 Å, α = 90.00°, β = 90.00° and γ = 90.00°. Symmetry generates all atoms from La at (0.250, 0.250, 0.000), Re at (0.000, 0.000, 0.500) and Te at (0.000, 0.500, 0.500).

---

No. 4
This record from Alexandria describes crystalline Zr2TcOs at its relaxed geometry. The functional is GGA-PBEsol.

For the size of the total moment, the calculation gives 0.00 μB per formula unit. The energy comes out at -84.35 eV/cell. Its formation energy from the elements is -0.128 eV per atom.

It has space group Immm (No. 71), with a = 3.240 Å, b = 4.844 Å, c = 8.645 Å, α = 90.00°, β = 90.00° and γ = 90.00°. Symmetry generates all atoms from Zr at (0.000, 0.000, 0.245), Tc at (0.000, 0.500, 0.500) and Os at (0.000, 0.500, 0.000).